# Tc2HgIr PBEsol optimized geometry
data_Tc2HgIr
_space_group_name_H-M_alt 'F -4 3 m'
_space_group_IT_number 216
_space_group_name_Hall 'F -4 2 3'
_cell_length_a 6.281
_cell_length_b 6.281
_cell_length_c 6.281
_cell_angle_alpha 90.00
_cell_angle_beta 90.00
_cell_angle_gamma 90.00
loop_
_atom_site_label
_atom_site_type_symbol
_atom_site_fract_x
_atom_site_fract_y
_atom_site_fract_z
Tc1 Tc 0.000 0.000 0.000
Tc2 Tc 0.250 0.250 0.250
Hg1 Hg 0.250 0.250 0.750
Ir1 Ir 0.000 0.000 0.500
# V (Å³/atom): 15.48
# DFT formation energy (meV/atom): 613
# Total energy (Ha/atom): -0.2799

=====

# TcHgIr2 PBEsol optimized geometry
data_TcHgIr2
_space_group_name_H-M_alt 'F -4 3 m'
_space_group_IT_number 216
_space_group_name_Hall 'F -4 2 3'
_cell_length_a 6.276
_cell_length_b 6.276
_cell_length_c 6.276
_cell_angle_alpha 90.00
_cell_angle_beta 90.00
_cell_angle_gamma 90.00
loop_
_atom_site_label
_atom_site_type_symbol
_atom_site_fract_x
_atom_site_fract_y
_atom_site_fract_z
Tc1 Tc 0.000 0.000 0.000
Hg1 Hg 0.250 0.250 0.250
Ir1 Ir 0.000 0.000 0.500
Ir2 Ir 0.250 0.250 0.750
# V (Å³/atom): 15.45
# DFT formation energy (meV/atom): 642
# Total energy (Ha/atom): -0.2656

=====

# Tc2HgIr PBEsol optimized geometry
data_Tc2HgIr
_space_group_name_H-M_alt 'P 4 m m'
_space_group_IT_number 99
_cell_length_a 2.789
_cell_length_b 2.789
_cell_length_c 7.882
_cell_angle_alpha 90.00
_cell_angle_beta 90.00
_cell_angle_gamma 90.00
loop_
_space_group_symop_operation_xyz
'x,y,z'
'-y,x,z'
'-x,-y,z'
'y,-x,z'
'-x,y,z'
'y,x,z'
'x,-y,z'
'-y,-x,z'
loop_
_atom_site_label
_atom_site_type_symbol
_atom_site_fract_x
_atom_site_fract_y
_atom_site_fract_z
Tc1 Tc 0.000 0.000 0.000
Tc2 Tc 0.500 0.500 0.225
Hg1 Hg 0.000 0.000 0.501
Ir1 Ir 0.500 0.500 0.775
# V (Å³/atom): 15.32
# DFT formation energy (meV/atom): 206
# Total energy (Ha/atom): -0.2949

=====

# Tc2HgIr PBEsol optimized geometry
data_Tc2HgIr
_space_group_name_H-M_alt 'R -3 m'
_space_group_IT_number 166
_space_group_name_Hall '-R 3 2"'
_cell_length_a 2.7624
_cell_length_b 2.7624
_cell_length_c 27.6599
_cell_angle_alpha 90.00
_cell_angle_beta 90.00
_cell_angle_gamma 120.00
loop_
_atom_site_label
_atom_site_type_symbol
_atom_site_fract_x
_atom_site_fract_y
_atom_site_fract_z
Tc1 Tc 0.0000 0.0000 0.2443
Hg1 Hg 0.0000 0.0000 0.0000
Ir1 Ir 0.0000 0.0000 0.5000
# V (Å³/atom): 15.23
# DFT formation energy (meV/atom): 249
# Total energy (Ha/atom): -0.2933

=====

# Tc2HgIr PBEsol optimized geometry
data_Tc2HgIr
_space_group_name_H-M_alt 'I m m 2'
_space_group_IT_number 44
_cell_length_a 2.775
_cell_length_b 4.697
_cell_length_c 9.624
_cell_angle_alpha 90.00
_cell_angle_beta 90.00
_cell_angle_gamma 90.00
loop_
_space_group_symop_operation_xyz
'x,y,z'
'-x,-y,z'
'-x,y,z'
'x,-y,z'
'x+1/2,y+1/2,z+1/2'
'-x+1/2,-y+1/2,z+1/2'
'-x+1/2,y+1/2,z+1/2'
'x+1/2,-y+1/2,z+1/2'
loop_
_atom_site_label
_atom_site_type_symbol
_atom_site_fract_x
_atom_site_fract_y
_atom_site_fract_z
Tc1 Tc 0.000 0.000 0.000
Tc2 Tc 0.000 0.500 0.283
Hg1 Hg 0.000 0.500 0.777
Ir1 Ir 0.000 0.000 0.551
# V (Å³/atom): 15.68
# DFT formation energy (meV/atom): 474
# Total energy (Ha/atom): -0.2851

=====

# TcHg2Ir PBEsol optimized geometry
data_TcHg2Ir
_space_group_name_H-M_alt 'P 4/m m m'
_space_group_IT_number 123
_space_group_name_Hall '-P 4 2'
_cell_length_a 4.057
_cell_length_b 4.057
_cell_length_c 4.119
_cell_angle_alpha 90.00
_cell_angle_beta 90.00
_cell_angle_gamma 90.00
loop_
_atom_site_label
_atom_site_type_symbol
_atom_site_fract_x
_atom_site_fract_y
_atom_site_fract_z
Tc1 Tc 0.000 0.000 0.000
Hg1 Hg 0.000 0.500 0.500
Ir1 Ir 0.500 0.500 0.000
# V (Å³/atom): 16.95
# DFT formation energy (meV/atom): 708
# Total energy (Ha/atom): -0.1781

=====

# HgTe2Ir PBEsol optimized geometry
data_HgTe2Ir
_space_group_name_H-M_alt 'P m m m'
_space_group_IT_number 47
_cell_length_a 4.257
_cell_length_b 4.413
_cell_length_c 4.542
_cell_angle_alpha 90.00
_cell_angle_beta 90.00
_cell_angle_gamma 90.00
loop_
_space_group_symop_operation_xyz
'x,y,z'
'-x,-y,-z'
'-x,-y,z'
'x,y,-z'
'x,-y,-z'
'-x,y,z'
'-x,y,-z'
'x,-y,z'
loop_
_atom_site_label
_atom_site_type_symbol
_atom_site_fract_x
_atom_site_fract_y
_atom_site_fract_z
Hg1 Hg 0.000 0.000 0.000
Te1 Te 0.000 0.500 0.500
Te2 Te 0.500 0.000 0.500
Ir1 Ir 0.500 0.500 0.000
# V (Å³/atom): 21.33
# Total energy (Ha/atom): -0.1360
# E_form (uncorrected) (kcal/mol of atoms): 15.19

=====

# HgTe3Ir PBEsol optimized geometry
data_HgTe3Ir
_space_group_name_H-M_alt 'P m -3 m'
_space_group_IT_number 221
_space_group_name_Hall '-P 4 2 3'
_cell_length_a 5.361
_cell_length_b 5.361
_cell_length_c 5.361
_cell_angle_alpha 90.00
_cell_angle_beta 90.00
_cell_angle_gamma 90.00
loop_
_atom_site_label
_atom_site_type_symbol
_atom_site_fract_x
_atom_site_fract_y
_atom_site_fract_z
Hg1 Hg 0.000 0.000 0.000
Te1 Te 0.000 0.000 0.500
Ir1 Ir 0.500 0.500 0.500
# V (Å³/atom): 30.81
# Total energy (Ha/atom): -0.0913
# E_form (uncorrected) (kcal/mol of atoms): 39.43

=====

# Hg2TeIr PBEsol optimized geometry
data_Hg2TeIr
_space_group_name_H-M_alt 'R -3 m'
_space_group_IT_number 166
_space_group_name_Hall '-R 3 2"'
_cell_length_a 3.0140
_cell_length_b 3.0140
_cell_length_c 32.2951
_cell_angle_alpha 90.00
_cell_angle_beta 90.00
_cell_angle_gamma 120.00
loop_
_atom_site_label
_atom_site_type_symbol
_atom_site_fract_x
_atom_site_fract_y
_atom_site_fract_z
Hg1 Hg 0.0000 0.0000 0.2359
Te1 Te 0.0000 0.0000 0.0000
Ir1 Ir 0.0000 0.0000 0.5000
# V (Å³/atom): 21.17
# Total energy (Ha/atom): -0.1143
# E_form (uncorrected) (kcal/mol of atoms): 11.78

=====

# HgTe2Ir PBEsol optimized geometry
data_HgTe2Ir
_space_group_name_H-M_alt 'C 1 2/m 1'
_space_group_IT_number 12
_cell_length_a 6.863
_cell_length_b 3.963
_cell_length_c 7.651
_cell_angle_alpha 90.00
_cell_angle_beta 107.49
_cell_angle_gamma 90.00
loop_
_space_group_symop_operation_xyz
'x,y,z'
'-x,-y,-z'
'-x,y,-z'
'x,-y,z'
'x+1/2,y+1/2,z'
'-x+1/2,-y+1/2,-z'
'-x+1/2,y+1/2,-z'
'x+1/2,-y+1/2,z'
loop_
_atom_site_label
_atom_site_type_symbol
_atom_site_fract_x
_atom_site_fract_y
_atom_site_fract_z
Hg1 Hg 0.000 0.000 0.000
Te1 Te 0.228 0.000 0.685
Ir1 Ir 0.000 0.500 0.500
# V (Å³/atom): 24.81
# Total energy (Ha/atom): -0.1656
# E_form (uncorrected) (kcal/mol of atoms): -3.35

=====

# Hg2TeIr PBEsol optimized geometry
data_Hg2TeIr
_space_group_name_H-M_alt 'R 3 m'
_space_group_IT_number 160
_space_group_name_Hall 'R 3 -2"'
_cell_length_a 3.6774
_cell_length_b 3.6774
_cell_length_c 23.9328
_cell_angle_alpha 90.00
_cell_angle_beta 90.00
_cell_angle_gamma 120.00
loop_
_atom_site_label
_atom_site_type_symbol
_atom_site_fract_x
_atom_site_fract_y
_atom_site_fract_z
Hg1 Hg 0.0000 0.0000 0.0000
Hg2 Hg 0.0000 0.0000 0.2462
Te1 Te 0.0000 0.0000 0.4679
Ir1 Ir 0.0000 0.0000 0.7431
# V (Å³/atom): 23.36
# Total energy (Ha/atom): -0.1292
# E_form (uncorrected) (kcal/mol of atoms): 2.42

=====

# HgTe2Ir PBEsol optimized geometry
data_HgTe2Ir
_space_group_name_H-M_alt 'R -3 m'
_space_group_IT_number 166
_space_group_name_Hall '-R 3 2"'
_cell_length_a 3.0664
_cell_length_b 3.0664
_cell_length_c 34.9722
_cell_angle_alpha 90.00
_cell_angle_beta 90.00
_cell_angle_gamma 120.00
loop_
_atom_site_label
_atom_site_type_symbol
_atom_site_fract_x
_atom_site_fract_y
_atom_site_fract_z
Hg1 Hg 0.0000 0.0000 0.0000
Te1 Te 0.0000 0.0000 0.4274
Ir1 Ir 0.0000 0.0000 0.5000
# V (Å³/atom): 23.73
# Total energy (Ha/atom): -0.1467
# E_form (uncorrected) (kcal/mol of atoms): 8.48

=====

# HgTe2Ir PBEsol optimized geometry
data_HgTe2Ir
_space_group_name_H-M_alt 'I 4/m m m'
_space_group_IT_number 139
_space_group_name_Hall '-I 4 2'
_cell_length_a 5.575
_cell_length_b 5.575
_cell_length_c 5.900
_cell_angle_alpha 90.00
_cell_angle_beta 90.00
_cell_angle_gamma 90.00
loop_
_atom_site_label
_atom_site_type_symbol
_atom_site_fract_x
_atom_site_fract_y
_atom_site_fract_z
Hg1 Hg 0.000 0.000 0.000
Te1 Te 0.000 0.500 0.000
Ir1 Ir 0.000 0.000 0.500
# V (Å³/atom): 22.92
# Total energy (Ha/atom): -0.1447
# E_form (uncorrected) (kcal/mol of atoms): 9.78

=====

# TlHgIr2 PBEsol optimized geometry
data_TlHgIr2
_space_group_name_H-M_alt 'R 3 m'
_space_group_IT_number 160
_space_group_name_Hall 'R 3 -2"'
_cell_length_a 2.8830
_cell_length_b 2.8830
_cell_length_c 30.7405
_cell_angle_alpha 90.00
_cell_angle_beta 90.00
_cell_angle_gamma 120.00
loop_
_atom_site_label
_atom_site_type_symbol
_atom_site_fract_x
_atom_site_fract_y
_atom_site_fract_z
Tl1 Tl 0.0000 0.0000 0.0000
Hg1 Hg 0.0000 0.0000 0.2280
Ir1 Ir 0.0000 0.0000 0.4828
Ir2 Ir 0.0000 0.0000 0.7500
# V (Å³/atom): 18.44
# DFT formation energy (meV/atom): 502
# Total energy (Ha/atom): -0.1914
# Energy above the most stable polymorph in this dataset (kJ/mol of formula units): 0

=====

# TlHgIr2 PBEsol optimized geometry
data_TlHgIr2
_space_group_name_H-M_alt 'I m m 2'
_space_group_IT_number 44
_cell_length_a 2.875
_cell_length_b 4.696
_cell_length_c 10.788
_cell_angle_alpha 90.00
_cell_angle_beta 90.00
_cell_angle_gamma 90.00
loop_
_space_group_symop_operation_xyz
'x,y,z'
'-x,-y,z'
'-x,y,z'
'x,-y,z'
'x+1/2,y+1/2,z+1/2'
'-x+1/2,-y+1/2,z+1/2'
'-x+1/2,y+1/2,z+1/2'
'x+1/2,-y+1/2,z+1/2'
loop_
_atom_site_label
_atom_site_type_symbol
_atom_site_fract_x
_atom_site_fract_y
_atom_site_fract_z
Tl1 Tl 0.000 0.000 0.000
Hg1 Hg 0.000 0.500 0.203
Ir1 Ir 0.000 0.000 0.443
Ir2 Ir 0.000 0.500 0.744
# V (Å³/atom): 18.20
# DFT formation energy (meV/atom): 532
# Total energy (Ha/atom): -0.1903
# Energy above the most stable polymorph in this dataset (kJ/mol of formula units): 12